Entry from the Alexandria database: a relaxed FeCo2O crystal (PBE+U).

Output
- Total moment: 7.83 μB/f.u.
- Space-group type: No. 122
- Electronic total energy: -0.175 Ha/atom

Cell: 5.446 5.446 5.446 Å, 118.03 118.03 93.44°
Positions (direct):
Fe (0.000, 0.000, 0.000)
Fe (0.750, 0.250, 0.500)
Co (0.222, 0.625, 0.097)
Co (0.375, 0.472, 0.597)
Co (0.528, 0.125, 0.903)
Co (0.875, 0.778, 0.403)
O (0.250, 0.750, 0.500)
O (0.500, 0.500, 0.000)